1.
TlSi3Sb | PBE-GGA | optimized geometry

Cell lengths 5.2503, 5.2503, 5.2503 Å; angles 90.00, 90.00, 90.00 degrees
Fractional coordinates of all 5 atoms:
Tl1 0.0000 0.0000 0.0000
Si1 0.0000 0.5000 0.5000
Si2 0.5000 0.0000 0.5000
Si3 0.5000 0.5000 0.0000
Sb1 0.5000 0.5000 0.5000

Results
calculated total energy = -17.01 eV per formula unit

=====

2.
FeAgOs2 | PBE-GGA | optimized geometry

Cell lengths 6.1350, 6.1350, 6.1350 Å; angles 90.00, 90.00, 90.00 degrees
Fractional coordinates of all 16 atoms:
Fe1 0.0000 0.0000 0.0000
Fe2 0.0000 0.5000 0.5000
Fe3 0.5000 0.0000 0.5000
Fe4 0.5000 0.5000 0.0000
Ag1 0.0000 0.0000 0.5000
Ag2 0.0000 0.5000 0.0000
Ag3 0.5000 0.0000 0.0000
Ag4 0.5000 0.5000 0.5000
Os1 0.2500 0.2500 0.2500
Os2 0.2500 0.2500 0.7500
Os3 0.2500 0.7500 0.2500
Os4 0.2500 0.7500 0.7500
Os5 0.7500 0.2500 0.2500
Os6 0.7500 0.2500 0.7500
Os7 0.7500 0.7500 0.2500
Os8 0.7500 0.7500 0.7500

Results
formation enthalpy at 0 K = 3.216 eV per formula unit

=====

Calculated volume in order - 144.7, 230.9 Å³/cell
Calculated N(E_F) in order - 0.59, 0.95 states/eV/atom